! Zn3P4 | Alexandria via LeMat-Bulk | GGA-PBE | relaxed; values from VASP
! - Volume: 122.08 Å³/cell
! - Energy relative to the elements: 0.118 eV/atom
! - Space-group type: No. 139
&SYSTEM
  ibrav = 0, nat = 7, ntyp = 2
/
ATOMIC_SPECIES
Zn 65.41 Zn.upf
P 30.97 P.upf
ATOMIC_POSITIONS crystal
Zn 0.000 0.000 0.000
Zn 0.723 0.723 0.000
Zn 0.277 0.277 0.000
P 0.903 0.903 0.000
P 0.097 0.097 0.000
P 0.625 0.625 0.000
P 0.375 0.375 0.000
CELL_PARAMETERS angstrom
-0.261 -12.241 -1.913
2.530 -12.028 1.579
-2.871 11.953 1.566